1.
ScCd4Ag: optimized geometry, GGA-PBE.

a b c (Å): 5.707 5.707 5.707
angles (deg): 60.00 60.00 60.00
Sites, in units of the cell vectors:
Ag 0.000 0.000 0.000
Sc 0.750 0.750 0.750
Cd 0.375 0.874 0.375
Cd 0.375 0.375 0.874
Cd 0.375 0.375 0.375
Cd 0.874 0.375 0.375

Results
* energy relative to the lowest polymorph listed for this composition: 142 meV/atom
* M_tot: 0.00 μB per cell
* E_form: 0.022 eV/atom
* theoretical density: 7.6 g/cm3
* D(E_F): 4.3 states/eV/cell

***

2.
ScCdAg: optimized geometry, GGA-PBE.

a b c (Å): 6.136 6.136 3.291
angles (deg): 74.44 74.44 31.11
Sites, in units of the cell vectors:
Cd 0.659 0.659 0.341
Sc 0.341 0.341 0.659
Ag 0.000 0.000 0.000

Results
* M_tot: 0.02 μB per cell
* E_form: -0.210 eV/atom
* theoretical density: 7.2 g/cm3
* D(E_F): 2.4 states/eV/cell

***

3.
ScCd2Ag6: optimized geometry, GGA-PBE.

a b c (Å): 4.259 5.118 8.993
angles (deg): 74.29 90.00 114.59
Sites, in units of the cell vectors:
Ag 0.008 0.017 0.161
Ag 0.661 0.322 0.612
Ag 0.339 0.678 0.388
Ag 0.992 0.983 0.839
Ag 0.335 0.671 0.059
Ag 0.665 0.329 0.941
Cd 0.676 0.351 0.271
Cd 0.324 0.649 0.729
Sc 0.000 0.000 0.500

Results
* energy relative to the lowest polymorph listed for this composition: 0 meV/atom
* M_tot: 0.00 μB per cell
* E_form: -0.092 eV/atom
* theoretical density: 8.9 g/cm3
* D(E_F): 3.6 states/eV/cell

***

4.
Sc7Cd2Ag2: optimized geometry, GGA-PBE.

a b c (Å): 6.394 7.096 6.394
angles (deg): 90.00 109.61 90.00
Sites, in units of the cell vectors:
Ag 0.708 0.000 0.292
Ag 0.292 0.000 0.708
Sc 0.500 0.279 0.000
Sc 0.000 0.279 0.500
Sc 0.500 0.721 0.000
Sc 0.500 0.744 0.500
Sc 0.000 0.000 0.000
Sc 0.000 0.721 0.500
Sc 0.500 0.256 0.500
Cd 0.182 0.500 0.182
Cd 0.818 0.500 0.818

Results
* M_tot: 0.00 μB per cell
* E_form: 0.107 eV/atom
* theoretical density: 4.6 g/cm3
* D(E_F): 16.2 states/eV/cell

***

5.
ScCd2Ag3: optimized geometry, GGA-PBE.

a b c (Å): 5.800 6.718 6.718
angles (deg): 106.20 90.00 90.00
Sites, in units of the cell vectors:
Ag 0.664 0.173 0.827
Ag 0.164 0.827 0.173
Ag 0.934 0.166 0.475
Ag 0.934 0.525 0.834
Ag 0.434 0.475 0.166
Ag 0.434 0.834 0.525
Sc 0.686 0.904 0.096
Sc 0.186 0.096 0.904
Cd 0.912 0.783 0.575
Cd 0.412 0.217 0.425
Cd 0.412 0.575 0.783
Cd 0.912 0.425 0.217

Results
* energy relative to the lowest polymorph listed for this composition: 38 meV/atom
* M_tot: 0.00 μB per cell
* E_form: -0.016 eV/atom
* theoretical density: 7.8 g/cm3
* D(E_F): 6.5 states/eV/cell

***

6.
ScCd5Ag3: optimized geometry, GGA-PBE.

a b c (Å): 7.311 7.311 9.911
angles (deg): 70.76 70.76 67.42
Sites, in units of the cell vectors:
Cd 0.533 0.533 0.728
Cd 0.045 0.413 0.364
Cd 0.955 0.587 0.636
Cd 0.467 0.467 0.272
Cd 0.732 0.732 0.113
Cd 0.674 0.326 0.000
Cd 0.326 0.674 0.000
Cd 0.413 0.045 0.364
Cd 0.268 0.268 0.887
Cd 0.587 0.955 0.636
Sc 0.879 0.879 0.305
Sc 0.121 0.121 0.695
Ag 0.376 0.376 0.577
Ag 0.624 0.624 0.423
Ag 0.000 0.000 0.000
Ag 0.000 0.000 0.500
Ag 0.133 0.133 0.186
Ag 0.867 0.867 0.814

Results
* energy relative to the lowest polymorph listed for this composition: 219 meV/atom
* M_tot: 0.00 μB per cell
* E_form: 0.141 eV/atom
* theoretical density: 6.9 g/cm3
* D(E_F): 9.5 states/eV/cell

***

7.
Sc2Cd12Ag5: optimized geometry, GGA-PBE.

a b c (Å): 8.895 7.902 7.196
angles (deg): 82.31 90.00 124.25
Sites, in units of the cell vectors:
Cd 0.565 0.130 0.261
Cd 0.824 0.205 0.563
Cd 0.137 0.273 0.147
Cd 0.947 0.504 0.185
Cd 0.176 0.795 0.437
Cd 0.618 0.795 0.437
Cd 0.556 0.504 0.185
Cd 0.435 0.870 0.739
Cd 0.053 0.496 0.815
Cd 0.863 0.727 0.853
Cd 0.444 0.496 0.815
Cd 0.382 0.205 0.563
Sc 0.769 0.000 0.000
Sc 0.231 0.000 0.000
Ag 0.365 0.729 0.136
Ag 0.000 0.000 0.500
Ag 0.635 0.271 0.864
Ag 0.223 0.446 0.504
Ag 0.777 0.554 0.496

Results
* M_tot: 0.00 μB per cell
* E_form: -0.024 eV/atom
* theoretical density: 8.0 g/cm3
* D(E_F): 8.8 states/eV/cell

***

8.
ScCd2Ag4: optimized geometry, GGA-PBE.

a b c (Å): 4.818 4.773 7.393
angles (deg): 87.47 69.87 58.92
Sites, in units of the cell vectors:
Cd 0.852 0.576 0.722
Cd 0.148 0.424 0.278
Ag 0.287 0.859 0.570
Ag 0.566 0.715 0.151
Ag 0.713 0.141 0.430
Ag 0.434 0.285 0.849
Sc 0.000 0.000 0.000

Results
* energy relative to the lowest polymorph listed for this composition: 0 meV/atom
* M_tot: 0.00 μB per cell
* E_form: -0.132 eV/atom
* theoretical density: 8.6 g/cm3
* D(E_F): 3.7 states/eV/cell

***

9.
ScCd12Ag6: optimized geometry, GGA-PBE.

a b c (Å): 7.840 7.840 7.840
angles (deg): 106.10 106.10 106.10
Sites, in units of the cell vectors:
Ag 0.923 0.550 0.825
Ag 0.077 0.450 0.175
Ag 0.825 0.923 0.550
Ag 0.175 0.077 0.450
Ag 0.550 0.825 0.923
Ag 0.450 0.175 0.077
Cd 0.274 0.826 0.144
Cd 0.174 0.856 0.726
Cd 0.826 0.144 0.274
Cd 0.433 0.807 0.526
Cd 0.474 0.567 0.193
Cd 0.856 0.726 0.174
Cd 0.526 0.433 0.807
Cd 0.807 0.526 0.433
Cd 0.726 0.174 0.856
Cd 0.193 0.474 0.567
Cd 0.144 0.274 0.826
Cd 0.567 0.193 0.474
Sc 0.000 0.000 0.000

Results
* energy relative to the lowest polymorph listed for this composition: 55 meV/atom
* M_tot: 0.00 μB per cell
* E_form: -0.010 eV/atom
* theoretical density: 8.2 g/cm3
* D(E_F): 7.2 states/eV/cell

***

10.
ScCd6Ag3: optimized geometry, GGA-PBE.

a b c (Å): 3.093 11.382 12.100
angles (deg): 101.63 90.00 90.00
Sites, in units of the cell vectors:
Cd 0.250 0.872 0.519
Cd 0.250 0.226 0.280
Cd 0.250 0.188 0.926
Cd 0.250 0.497 0.311
Cd 0.750 0.774 0.720
Cd 0.750 0.503 0.689
Cd 0.750 0.128 0.481
Cd 0.250 0.267 0.699
Cd 0.750 0.352 0.114
Cd 0.250 0.648 0.886
Cd 0.750 0.733 0.301
Cd 0.750 0.812 0.074
Sc 0.750 0.038 0.721
Sc 0.250 0.962 0.279
Ag 0.750 0.072 0.099
Ag 0.750 0.421 0.901
Ag 0.250 0.579 0.099
Ag 0.250 0.928 0.901
Ag 0.250 0.377 0.498
Ag 0.750 0.623 0.502

Results
* energy relative to the lowest polymorph listed for this composition: 44 meV/atom
* M_tot: 0.48 μB per cell
* E_form: -0.049 eV/atom
* theoretical density: 8.3 g/cm3
* D(E_F): 7.9 states/eV/cell

***

11.
Sc5CdAg: optimized geometry, GGA-PBE.

a b c (Å): 5.499 5.499 11.093
angles (deg): 100.93 100.93 89.42
Sites, in units of the cell vectors:
Sc 0.027 0.973 0.750
Sc 0.061 0.490 0.137
Sc 0.510 0.939 0.363
Sc 0.939 0.510 0.863
Sc 0.233 0.508 0.448
Sc 0.490 0.061 0.637
Sc 0.973 0.027 0.250
Sc 0.508 0.233 0.948
Sc 0.767 0.492 0.552
Sc 0.492 0.767 0.052
Cd 0.408 0.592 0.750
Cd 0.592 0.408 0.250
Ag 0.000 0.000 0.500
Ag 0.000 0.000 0.000

Results
* M_tot: 0.00 μB per cell
* E_form: 0.019 eV/atom
* theoretical density: 4.6 g/cm3
* D(E_F): 21.1 states/eV/cell

***

12.
Sc2Cd2Ag: optimized geometry, GGA-PBE.

a b c (Å): 7.465 7.465 4.274
angles (deg): 90.00 90.00 90.00
Sites, in units of the cell vectors:
Sc 0.150 0.350 0.000
Sc 0.350 0.850 0.000
Sc 0.850 0.650 0.000
Sc 0.650 0.150 0.000
Cd 0.851 0.351 0.500
Cd 0.351 0.149 0.500
Cd 0.149 0.649 0.500
Cd 0.649 0.851 0.500
Ag 0.500 0.500 0.000
Ag 0.000 0.000 0.000

Results
* energy relative to the lowest polymorph listed for this composition: 227 meV/atom
* M_tot: 0.00 μB per cell
* E_form: 0.062 eV/atom
* theoretical density: 5.9 g/cm3
* D(E_F): 12.2 states/eV/cell

***

13.
Sc6Cd5Ag: optimized geometry, GGA-PBE.

a b c (Å): 4.976 7.038 7.887
angles (deg): 90.00 71.50 90.00
Sites, in units of the cell vectors:
Sc 0.164 0.752 0.672
Sc 0.836 0.248 0.328
Sc 0.500 0.756 0.000
Sc 0.164 0.248 0.672
Sc 0.500 0.244 0.000
Sc 0.836 0.752 0.328
Cd 0.668 0.500 0.664
Cd 0.669 0.000 0.662
Cd 0.331 0.000 0.338
Cd 0.000 0.500 0.000
Cd 0.332 0.500 0.336
Ag 0.000 0.000 0.000

Results
* M_tot: 0.00 μB per cell
* E_form: -0.284 eV/atom
* theoretical density: 6.0 g/cm3
* D(E_F): 11.6 states/eV/cell

***

14.
ScCdAg: optimized geometry, GGA-PBE.

a b c (Å): 5.438 5.438 5.047
angles (deg): 90.00 90.00 125.31
Sites, in units of the cell vectors:
Cd 0.081 0.919 0.250
Cd 0.919 0.081 0.750
Sc 0.397 0.603 0.250
Sc 0.603 0.397 0.750
Ag 0.260 0.740 0.750
Ag 0.740 0.260 0.250

Results
* M_tot: 0.23 μB per cell
* E_form: -0.190 eV/atom
* theoretical density: 7.2 g/cm3
* D(E_F): 3.6 states/eV/cell

***

15.
Sc3CdAg: optimized geometry, GGA-PBE.

a b c (Å): 5.179 5.179 5.179
angles (deg): 90.00 90.00 90.00
Sites, in units of the cell vectors:
Sc 0.500 0.000 0.000
Sc 0.000 0.000 0.500
Sc 0.000 0.500 0.000
Ag 0.000 0.000 0.000
Cd 0.500 0.500 0.500

Results
* energy relative to the lowest polymorph listed for this composition: 540 meV/atom
* M_tot: 1.20 μB per cell
* E_form: 0.347 eV/atom
* theoretical density: 4.2 g/cm3
* D(E_F): 11.3 states/eV/cell

***

16.
ScCd2Ag: optimized geometry, GGA-PBE.

a b c (Å): 3.313 3.311 7.556
angles (deg): 90.00 90.00 90.00
Sites, in units of the cell vectors:
Sc 0.500 0.500 0.250
Ag 0.500 0.500 0.750
Cd 0.000 0.000 0.984
Cd 0.000 0.000 0.516

Results
* M_tot: 0.29 μB per cell
* E_form: -0.171 eV/atom
* theoretical density: 7.6 g/cm3
* D(E_F): 2.8 states/eV/cell

***

17.
ScCd5Ag2: optimized geometry, GGA-PBE.

a b c (Å): 7.527 7.527 8.146
angles (deg): 117.52 117.52 90.00
Sites, in units of the cell vectors:
Ag 0.640 0.140 0.000
Ag 0.360 0.860 0.000
Ag 0.860 0.640 0.000
Ag 0.140 0.360 0.000
Cd 0.309 0.809 0.312
Cd 0.809 0.003 0.312
Cd 0.503 0.309 0.312
Cd 0.497 0.691 0.688
Cd 0.191 0.997 0.688
Cd 0.500 0.500 0.000
Cd 0.003 0.503 0.312
Cd 0.691 0.191 0.688
Cd 0.997 0.497 0.688
Cd 0.000 0.000 0.000
Sc 0.750 0.750 0.500
Sc 0.250 0.250 0.500

Results
* energy relative to the lowest polymorph listed for this composition: 133 meV/atom
* M_tot: 0.00 μB per cell
* E_form: 0.014 eV/atom
* theoretical density: 7.8 g/cm3
* D(E_F): 8.7 states/eV/cell

***

18.
ScCd3Ag6: optimized geometry, GGA-PBE.

a b c (Å): 7.643 8.120 8.120
angles (deg): 127.18 90.00 90.00
Sites, in units of the cell vectors:
Cd 0.776 0.564 0.436
Cd 0.443 0.848 0.589
Cd 0.943 0.589 0.848
Cd 0.943 0.152 0.411
Cd 0.443 0.411 0.152
Cd 0.276 0.436 0.564
Ag 0.088 0.331 0.213
Ag 0.828 0.005 0.995
Ag 0.039 0.724 0.276
Ag 0.539 0.276 0.724
Ag 0.811 0.375 0.008
Ag 0.311 0.008 0.375
Ag 0.588 0.213 0.331
Ag 0.588 0.669 0.787
Ag 0.311 0.625 0.992
Ag 0.088 0.787 0.669
Ag 0.811 0.992 0.625
Ag 0.328 0.995 0.005
Sc 0.658 0.791 0.209
Sc 0.158 0.209 0.791

Results
* energy relative to the lowest polymorph listed for this composition: 64 meV/atom
* M_tot: 0.00 μB per cell
* E_form: -0.039 eV/atom
* theoretical density: 8.5 g/cm3
* D(E_F): 8.5 states/eV/cell

***

19.
Sc2Cd2Ag: optimized geometry, GGA-PBE.

a b c (Å): 3.310 3.351 10.164
angles (deg): 80.51 90.00 90.00
Sites, in units of the cell vectors:
Sc 0.500 0.411 0.179
Sc 0.500 0.589 0.821
Cd 0.000 0.810 0.380
Cd 0.000 0.190 0.620
Ag 0.000 0.000 0.000

Results
* energy relative to the lowest polymorph listed for this composition: 0 meV/atom
* M_tot: 0.29 μB per cell
* E_form: -0.165 eV/atom
* theoretical density: 6.3 g/cm3
* D(E_F): 4.4 states/eV/cell

***

20.
ScCd3Ag: optimized geometry, GGA-PBE.

a b c (Å): 9.485 9.485 4.754
angles (deg): 90.00 90.00 150.93
Sites, in units of the cell vectors:
Cd 0.250 0.750 0.155
Cd 0.550 0.450 0.655
Cd 0.450 0.550 0.155
Cd 0.945 0.055 0.655
Cd 0.750 0.250 0.655
Cd 0.055 0.945 0.155
Ag 0.845 0.155 0.155
Ag 0.155 0.845 0.655
Sc 0.346 0.654 0.655
Sc 0.654 0.346 0.155

Results
* energy relative to the lowest polymorph listed for this composition: 0 meV/atom
* M_tot: 0.00 μB per cell
* E_form: -0.143 eV/atom
* theoretical density: 7.8 g/cm3
* D(E_F): 4.4 states/eV/cell

***

21.
Sc4Cd3Ag: optimized geometry, GGA-PBE.

a b c (Å): 3.507 3.507 14.088
angles (deg): 90.00 90.00 90.00
Sites, in units of the cell vectors:
Sc 0.000 0.000 0.627
Sc 0.000 0.000 0.118
Sc 0.000 0.000 0.373
Sc 0.000 0.000 0.882
Cd 0.500 0.500 0.753
Cd 0.500 0.500 0.500
Cd 0.500 0.500 0.247
Ag 0.500 0.500 0.000

Results
* M_tot: 0.00 μB per cell
* E_form: -0.286 eV/atom
* theoretical density: 6.0 g/cm3
* D(E_F): 6.8 states/eV/cell

***

| no. | total energy (eV per atom) |
| --- | --- |
| 1 | -2.12 |
| 2 | -3.58 |
| 3 | -2.90 |
| 4 | -4.61 |
| 5 | -2.80 |
| 6 | -2.02 |
| 7 | -2.02 |
| 8 | -2.93 |
| 9 | -1.82 |
| 10 | -2.09 |
| 11 | -5.04 |
| 12 | -3.41 |
| 13 | -4.07 |
| 14 | -3.56 |
| 15 | -4.21 |
| 16 | -2.92 |
| 17 | -2.06 |
| 18 | -2.66 |
| 19 | -3.63 |
| 20 | -2.53 |
| 21 | -4.15 |